## Tl2FePdBr6 (PBE)

Data for a geometry-optimized Tl2FePdBr6 structure.

Cell: 7.397 7.397 7.397 Å, 60.00 60.00 60.00°
Positions (direct):
1 Tl 0.250 0.250 0.250
2 Tl 0.750 0.750 0.750
3 Fe 0.000 0.000 0.000
4 Pd 0.500 0.500 0.500
5 Br 0.245 0.245 0.755
6 Br 0.245 0.755 0.245
7 Br 0.245 0.755 0.755
8 Br 0.755 0.245 0.245
9 Br 0.755 0.245 0.755
10 Br 0.755 0.755 0.245

Computed properties:
SG = Fm-3m
total moment = 3.381 Bohr magnetons per cell
DFT total energy = -3.3351 eV per atom